Ac8TlGa2 (GGA-PBE, relaxed); E_form = -18.2 kJ/mol of atoms; symmetry = C2/m (12); VASP energy = -3.942 eV/atom
1.0
5.393 0.000 0.000
0.000 8.236 0.144
-2.696 -3.339 9.337
Ga Ac Tl
2 8 1
direct
0.189 0.698 0.378
0.811 0.302 0.622
0.406 0.532 0.812
0.672 0.963 0.344
0.328 0.037 0.656
0.967 0.237 0.935
0.802 0.689 0.604
0.198 0.311 0.396
0.033 0.763 0.065
0.594 0.468 0.188
0.500 0.000 0.000